CdP2IrS (GGA-PBEsol, optimized geometry); DFT total energy = -4.90 eV per atom; V = 102.8 Å³ per cell
1.0
-3.7284 -0.5166 -2.3416
-1.8185 -2.2125 3.3836
-1.8440 4.4907 1.9454
Cd S Ir P
1 1 1 2
direct
0.5000 0.5000 0.5000 Cd
0.0000 0.0000 0.5000 S
0.0000 0.0000 0.0000 Ir
0.5000 0.0000 0.0000 P
0.0000 0.5000 0.0000 P